First-principles (GGA-PBE) data for crystalline CdAgSeO at its relaxed geometry, as listed in the Open Quantum Materials Database.

Properties
The calculation puts the offset from the most stable computed form at 0.101 eV per atom.

Cell: 6.673 6.985 7.003 Å, 90.00 90.00 90.00°
Space group P2_12_12_1 (No. 19)
Unique sites:
1 Cd 0.198 0.136 0.428
2 Ag 0.110 0.716 0.508
3 Se 0.125 0.532 0.862
4 O 0.152 0.090 0.110